(one)
Here is Zn2ReAu after structural relaxation from Alexandria via LeMat-Bulk. Energies are from GGA-PBEsol.

Cell lengths 2.6921, 2.6921, 8.0438 Å; angles 90.00, 90.00, 90.00 degrees
Positions (direct):
Zn  0.0000  0.0000  0.7437
Zn  0.0000  0.0000  0.2563
Re  0.5000  0.5000  0.5000
Au  0.5000  0.5000  0.0000

Calculated values
* total moment: 0.0 μB/f.u.

(two)
Here is Zn2ReAu after structural relaxation from Alexandria via LeMat-Bulk. Energies are from GGA-PBEsol.

Cell lengths 3.7076, 3.7076, 4.9978 Å; angles 111.77, 111.77, 90.00 degrees
Positions (direct):
Zn  0.7500  0.2500  0.5000
Re  0.2500  0.7500  0.5000
Au  0.5000  0.5000  0.0000
Zn  0.0000  0.0000  0.0000

Calculated values
* total moment: 0.0 μB/f.u.

Stability, lowest: (two)

(one)
Here is Zn2ReAu after structural relaxation from Alexandria via LeMat-Bulk. Energies are from GGA-PBEsol.

Cell lengths 3.9705, 3.9705, 4.6492 Å; angles 115.28, 115.28, 90.00 degrees
Positions (direct):
Au  0.5000  0.5000  0.0000
Re  0.0000  0.0000  0.0000
Zn  0.7500  0.2500  0.5000
Zn  0.2500  0.7500  0.5000

Calculated values
* total moment: 0.0 μB/f.u.

(two)
Here is Zn2ReAu after structural relaxation from Alexandria via LeMat-Bulk. Energies are from GGA-PBEsol.

Cell lengths 2.6614, 4.2531, 5.2450 Å; angles 90.00, 90.28, 90.00 degrees
Positions (direct):
Re  0.0000  0.5000  0.5000
Au  0.5000  0.5000  0.0000
Zn  0.4884  0.0000  0.2734
Zn  0.5116  0.0000  0.7266

Calculated values
* total moment: 0.0 μB/f.u.

Stability, lowest: (one)

(one)
Here is ZrRe2Au after structural relaxation from Alexandria via LeMat-Bulk. Energies are from GGA-PBEsol.

Cell lengths 3.3198, 4.3986, 5.3218 Å; angles 114.41, 108.17, 90.00 degrees
Positions (direct):
Re  0.2443  0.2443  0.4885
Re  0.7557  0.7557  0.5115
Zr  0.5000  0.0000  0.0000
Au  0.0000  0.5000  0.0000

Calculated values
* total moment: 0.0 μB/f.u.

(two)
Here is ZrRe2Au after structural relaxation from Alexandria via LeMat-Bulk. Energies are from GGA-PBEsol.

Cell lengths 3.0203, 3.0203, 7.4091 Å; angles 90.00, 90.00, 90.00 degrees
Positions (direct):
Re  0.0000  0.0000  0.0277
Au  0.5000  0.5000  0.7640
Zr  0.0000  0.0000  0.4888
Re  0.5000  0.5000  0.2194

Calculated values
* total moment: 0.0 μB/f.u.

Stability, lowest: (one)

(one)
Here is RhAu5 after structural relaxation from Alexandria via LeMat-Bulk. Energies are from GGA-PBEsol.

Cell lengths 5.3009, 5.3009, 5.3009 Å; angles 60.00, 60.00, 60.00 degrees
Positions (direct):
Au  0.3749  0.3749  0.3749
Au  0.7500  0.7500  0.7500
Au  0.8753  0.3749  0.3749
Au  0.3749  0.3749  0.8753
Au  0.3749  0.8753  0.3749
Rh  0.0000  0.0000  0.0000

Calculated values
* total moment: 0.0 μB/f.u.

(two)
Here is RhAu5 after structural relaxation from Alexandria via LeMat-Bulk. Energies are from GGA-PBEsol.

Cell lengths 2.7986, 4.7463, 7.5163 Å; angles 90.00, 100.73, 90.00 degrees
Positions (direct):
Rh  0.1122  0.5000  0.2245
Au  0.3338  0.0000  0.6677
Au  0.7743  0.5000  0.5486
Au  0.4474  0.5000  0.8949
Au  0.0015  0.0000  0.0030
Au  0.6640  0.0000  0.3280

Calculated values
* total moment: 0.0 μB/f.u.

Stability, lowest: (one)

(one)
Here is Rh2Au after structural relaxation from Alexandria via LeMat-Bulk. Energies are from GGA-PBEsol.

Cell lengths 2.6809, 4.3861, 4.3861 Å; angles 120.00, 90.00, 90.00 degrees
Positions (direct):
Au  0.5000  0.0000  0.0000
Rh  0.0000  0.6667  0.3333
Rh  0.0000  0.3333  0.6667

Calculated values
* total moment: 0.0 μB/f.u.

(two)
Here is Rh2Au after structural relaxation from Alexandria via LeMat-Bulk. Energies are from GGA-PBEsol.

Cell lengths 2.7432, 2.7432, 6.1520 Å; angles 102.88, 102.88, 90.00 degrees
Positions (direct):
Au  0.0000  0.0000  0.0000
Rh  0.6756  0.6756  0.3513
Rh  0.3244  0.3244  0.6487

Calculated values
* total moment: 0.0 μB/f.u.

Stability, lowest: (one)

(one)
Here is Ru2RhAu after structural relaxation from Alexandria via LeMat-Bulk. Energies are from GGA-PBEsol.

Cell lengths 2.7057, 2.7057, 9.1062 Å; angles 81.46, 81.46, 60.00 degrees
Positions (direct):
Ru  0.2544  0.2544  0.2369
Au  0.5000  0.5000  0.5000
Ru  0.7456  0.7456  0.7631
Rh  0.0000  0.0000  0.0000

Calculated values
* total moment: 0.0 μB/f.u.

(two)
Here is Ru2RhAu after structural relaxation from Alexandria via LeMat-Bulk. Energies are from GGA-PBEsol.

Cell lengths 2.6772, 2.6772, 9.3175 Å; angles 90.00, 90.00, 118.89 degrees
Last column: magnetic moment on the atom in μB.
Positions (direct):
Rh  0.5000  0.5000  0.2375  0.13
Au  0.0000  0.0000  0.4995  0.01
Ru  0.5000  0.5000  0.7650  0.53
Ru  0.0000  0.0000  0.9980  0.50

Calculated values
* total moment: 1.2 μB/f.u.

Stability, lowest: (two)